Entry 1:
Compound: LiFeHg2Br
Source: the Alexandria database
Functional: SCAN
Structure: PBEsol geometry

Unit cell a=4.380 b=6.248 c=6.248 alpha=90.00 beta=90.00 gamma=90.00
Site moments in Bohr magnetons follow the coordinates.
Atoms (fractional coordinates):
Li (0.500, 0.000, 0.000)  0.00
Hg (0.000, 0.000, 0.500)  0.03
Hg (0.000, 0.500, 0.000)  0.03
Br (0.000, 0.000, 0.000)  0.00
Fe (0.500, 0.500, 0.500)  3.54

Formation energy from raw total energies: 0.4186 eV per atom
Symmetry: P4/mmm, No. 123
Total energy: -34.844 eV per atom

=====

Entry 2:
Compound: LaCoCl
Source: the Alexandria database
Functional: SCAN
Structure: PBEsol geometry

Unit cell a=3.874 b=3.970 c=3.970 alpha=120.00 beta=90.00 gamma=90.00
Atoms (fractional coordinates):
Cl (0.000, 0.000, 0.000)
Co (0.000, 0.333, 0.667)
La (0.500, 0.667, 0.333)

Formation energy from raw total energies: -0.4448 eV per atom
Symmetry: P-6m2, No. 187
Total energy: -23.241 eV per atom

=====

Entry 3:
Compound: CeInPt
Source: the Alexandria database
Functional: SCAN
Structure: PBEsol geometry

Unit cell a=4.047 b=7.480 c=7.480 alpha=120.00 beta=90.00 gamma=90.00
Site moments in Bohr magnetons follow the coordinates.
Atoms (fractional coordinates):
Ce (0.500, 0.588, 0.588)  0.44
Ce (0.500, 0.412, 0.000)  0.44
Ce (0.500, 0.000, 0.412)  0.44
In (0.000, 0.000, 0.748)  -0.01
In (0.000, 0.252, 0.252)  -0.01
In (0.000, 0.748, 0.000)  -0.01
Pt (0.500, 0.000, 0.000)  -0.04
Pt (0.000, 0.333, 0.667)  -0.04
Pt (0.000, 0.667, 0.333)  -0.04

Symmetry: P-62m, No. 189
Total energy: -50.484 eV per atom

=====

| no. | total moment (Bohr magnetons per cell) |
| --- | --- |
| 1 | 4.0 |
| 2 | 0.0 |
| 3 | 1.3 |